NpPt2 | PBE | relaxed Values from VASP.

The structure in Quantum ESPRESSO input format:
```
&SYSTEM
  ibrav = 0, nat = 3, ntyp = 2
/
ATOMIC_SPECIES
Pt 195.08 Pt.upf
Np 237.00 Np.upf
CELL_PARAMETERS angstrom
-0.030 2.620 2.531
-3.595 -0.433 0.406
2.530 -4.114 1.666
ATOMIC_POSITIONS crystal
Pt 0.663 0.663 0.326
Pt 0.337 0.337 0.674
Np 0.000 0.000 0.000
```

* density of states at the Fermi level: 2.800 states/eV/atom
* formation enthalpy at 0 K: -467 meV per atom